[1]
Density functional theory data (PBE) for a geometry-optimized LuNiPb structure.

Unit cell a=8.1615 b=8.1615 c=3.3723 alpha=90.00 beta=90.00 gamma=120.00
Space group P-62m (No. 189)
Asymmetric unit:
Lu1 0.0000 0.2979 0.0000 [3 per cell]
Ni1 0.0000 0.6478 0.5000 [3 per cell]
Pb1 0.0000 0.0000 0.5000 [1 per cell]
Pb2 0.3333 0.6667 0.0000 [2 per cell]

Raw total energy   -4.548 eV/atom

***

[2]
Density functional theory data (PBE) for a geometry-optimized Pm2Zn4N structure.

Unit cell a=4.2623 b=4.2623 c=15.6921 alpha=90.00 beta=90.00 gamma=90.00
Space group I4/mmm (No. 139)
Asymmetric unit:
Pm1 0.0000 0.0000 0.1754 [4 per cell]
Zn1 0.0000 0.0000 0.3686 [4 per cell]
Zn2 0.0000 0.5000 0.0000 [4 per cell]
N1 0.0000 0.0000 0.5000 [2 per cell]

Raw total energy   -3.170 eV/atom

***

[3]
Density functional theory data (PBE) for a geometry-optimized ErTmTlN structure.

Unit cell a=3.4840 b=3.4840 c=15.5349 alpha=90.00 beta=90.00 gamma=120.00
Space group P-3m1 (No. 164)
Asymmetric unit:
Er1 0.3333 0.6667 0.0842 [2 per cell]
Tm1 0.3333 0.6667 0.4165 [2 per cell]
Tl1 0.3333 0.6667 0.7492 [2 per cell]
N1 0.0000 0.0000 0.0000 [1 per cell]
N2 0.0000 0.0000 0.5000 [1 per cell]

Raw total energy   -5.962 eV/atom

***

[4]
Density functional theory data (PBE) for a geometry-optimized TbNd2Cu4Ge4 structure.

Unit cell a=4.3121 b=6.6853 c=14.2313 alpha=90.00 beta=90.00 gamma=90.00
Space group Immm (No. 71)
Asymmetric unit:
Tb1 0.0000 0.0000 0.0000 [2 per cell]
Nd1 0.0000 0.5000 0.1320 [4 per cell]
Cu1 0.0000 0.3139 0.3335 [8 per cell]
Ge1 0.0000 0.0000 0.2151 [4 per cell]
Ge2 0.0000 0.1935 0.5000 [4 per cell]

Raw total energy   -4.929 eV/atom

***

[5]
Density functional theory data (PBE) for a geometry-optimized FeS structure.

Unit cell a=3.4096 b=3.4096 c=5.9861 alpha=90.00 beta=90.00 gamma=120.00
Space group P6_3mc (No. 186)
Asymmetric unit:
Fe1 0.3333 0.6667 0.0000 [2 per cell]
S1 0.3333 0.6667 0.3641 [2 per cell]

Raw total energy   -6.454 eV/atom

***

[6]
Density functional theory data (PBE) for a geometry-optimized LiCoBAu structure.

Unit cell a=5.5231 b=5.5231 c=5.5231 alpha=90.00 beta=90.00 gamma=90.00
Space group F-43m (No. 216)
Asymmetric unit:
Li1 0.0000 0.0000 0.0000 [4 per cell]
Co1 0.2500 0.2500 0.7500 [4 per cell]
B1 0.0000 0.0000 0.5000 [4 per cell]
Au1 0.2500 0.2500 0.2500 [4 per cell]

E above lowest polymorph   0.000 eV per atom

***

[7]
Density functional theory data (PBE) for a geometry-optimized Ba2NbAgS6 structure.

Unit cell a=9.9358 b=9.9358 c=9.9358 alpha=90.00 beta=90.00 gamma=90.00
Space group Fm-3m (No. 225)
Asymmetric unit:
Ba1 0.2500 0.2500 0.2500 [8 per cell]
Nb1 0.0000 0.0000 0.0000 [4 per cell]
Ag1 0.0000 0.0000 0.5000 [4 per cell]
S1 0.0000 0.0000 0.2450 [24 per cell]

Raw total energy   -5.156 eV/atom

***

[8]
Density functional theory data (PBE) for a geometry-optimized BaReO4 structure.

Unit cell a=5.6939 b=5.6939 c=12.4373 alpha=90.00 beta=90.00 gamma=90.00
Space group I4_1/a (No. 88, origin choice 2)
Asymmetric unit:
Ba1 0.0000 0.2500 0.1250 [4 per cell]
Re1 0.0000 0.2500 0.6250 [4 per cell]
O1 0.1269 0.0039 0.6954 [16 per cell]

E above lowest polymorph   0.000 eV per atom

***

Please write out number 6 again, unchanged.
Density functional theory data (PBE) for a geometry-optimized LiCoBAu structure.

Unit cell a=5.5231 b=5.5231 c=5.5231 alpha=90.00 beta=90.00 gamma=90.00
Space group F-43m (No. 216)
Asymmetric unit:
Li1 0.0000 0.0000 0.0000 [4 per cell]
Co1 0.2500 0.2500 0.7500 [4 per cell]
B1 0.0000 0.0000 0.5000 [4 per cell]
Au1 0.2500 0.2500 0.2500 [4 per cell]

E above lowest polymorph   0.000 eV per atom